Entry 1:
Below is crystalline EuHo2Bi at its relaxed geometry, with properties calculated at the PBE level.

abc: 12.4397 12.4397 12.4397
angles: 16.54 16.54 16.54
Last column: nearest neighbours and their distance in Å.
Element x y z (fractional)
Eu  0.0000  0.0000  0.0000  6 Eu 3.58, 6 Ho 3.65
Ho  0.4150  0.4150  0.4150  1 Bi 3.13
Ho  0.5850  0.5850  0.5850  1 Bi 3.13
Bi  0.5000  0.5000  0.5000  2 Ho 3.13

**Excess energy over the best structure of this formula in the dataset**: 400 meV/atom
**Calculated formation energy**: 0.0830 eV per atom
**Energy**: -5.745 eV per atom
**DOS(E_F)**: 4.27 states/eV/cell

Entry 2:
Below is crystalline TaTcPSe2 at its relaxed geometry, with properties calculated at the PBE level.

abc: 4.6532 4.6532 5.1119
angles: 90.00 90.00 90.00
Last column: nearest neighbours and their distance in Å.
Element x y z (fractional)
Ta  0.0000  0.0000  0.0000  2 Tc 2.56
Tc  0.0000  0.0000  0.5000  4 Se 2.33, 2 Ta 2.56
P  0.5000  0.5000  0.0000  4 Ta 3.29, 8 Se 3.46
Se  0.0000  0.5000  0.5000  2 Tc 2.33
Se  0.5000  0.0000  0.5000  2 Tc 2.33

**Energy**: -5.912 eV per atom
**DOS(E_F)**: 5.24 states/eV/cell
**ΔE_f (raw)**: 486 kJ/mol of formula units

Entry 3:
Below is crystalline ScCuBr at its relaxed geometry, with properties calculated at the PBE level.

abc: 10.2569 10.2569 4.3188
angles: 90.24 90.24 20.06
Last column: nearest neighbours and their distance in Å.
Element x y z (fractional)
Sc  0.0000  0.0000  0.0000  2 Br 2.66, 6 Cu 2.67-2.91
Sc  0.1369  0.1369  0.5016  2 Br 2.66, 6 Cu 2.68-2.91
Cu  0.5382  0.5382  0.5000  2 Cu 2.48, 2 Sc 2.68
Cu  0.5985  0.5985  0.0011  2 Cu 2.48, 2 Sc 2.67
Br  0.4026  0.4026  0.0054  2 Sc 2.66
Br  0.7344  0.7344  0.5039  2 Sc 2.66

**Excess energy over the best structure of this formula in the dataset**: 86 meV/atom
**Energy**: -4.770 eV per atom
**DOS(E_F)**: 5.00 states/eV/cell
**ΔE_f (raw)**: -213 kJ/mol of formula units

Entry 4:
Below is crystalline Ac2Tb6Nd3 at its relaxed geometry, with properties calculated at the PBE level.

abc: 6.2943 6.2943 12.0594
angles: 94.98 94.98 120.08
Last column: nearest neighbours and their distance in Å.
Element x y z (fractional)
Ac  0.1668  0.8332  0.0000  3 Ac 3.63-3.64, 6 Tb 3.70
Ac  0.8332  0.1668  0.0000  3 Ac 3.63-3.64, 6 Tb 3.70
Tb  0.0815  0.4142  0.7433  3 Nd 3.57-3.59, 6 Tb 3.62-3.64, 2 Ac 3.70
Tb  0.2532  0.2532  0.2568  3 Nd 3.56-3.57, 6 Tb 3.62-3.64, 2 Ac 3.70
Tb  0.4142  0.0815  0.7433  3 Nd 3.57-3.59, 6 Tb 3.62-3.64, 2 Ac 3.70
Tb  0.5858  0.9185  0.2567  3 Nd 3.57-3.59, 6 Tb 3.62-3.64, 2 Ac 3.70
Tb  0.7468  0.7468  0.7432  3 Nd 3.56-3.57, 6 Tb 3.62-3.64, 2 Ac 3.70
Tb  0.9185  0.5858  0.2567  3 Nd 3.57-3.59, 6 Tb 3.62-3.64, 2 Ac 3.70
Nd  0.0000  0.0000  0.5000  6 Tb 3.57, 6 Nd 3.62-3.66
Nd  0.3356  0.6644  0.5000  6 Tb 3.56-3.59, 6 Nd 3.58-3.66
Nd  0.6644  0.3356  0.5000  6 Tb 3.56-3.59, 6 Nd 3.58-3.66

**Calculated formation energy**: 0.1810 eV per atom
**Energy**: -4.392 eV per atom
**DOS(E_F)**: 15.29 states/eV/cell

Entry 5:
Below is crystalline Os2WI at its relaxed geometry, with properties calculated at the PBE level.

abc: 4.6050 4.6050 4.6050
angles: 60.00 60.00 60.00
Last column: nearest neighbours and their distance in Å.
Element x y z (fractional)
Os  0.2500  0.2500  0.2500  4 W 2.82, 4 I 2.82
Os  0.7500  0.7500  0.7500  4 W 2.82, 4 I 2.82
W  0.0000  0.0000  0.0000  8 Os 2.82
I  0.5000  0.5000  0.5000  8 Os 2.82

**Excess energy over the best structure of this formula in the dataset**: 90 meV/atom
**Energy**: -7.708 eV per atom
**DOS(E_F)**: 5.08 states/eV/cell
**ΔE_f (raw)**: 591 kJ/mol of formula units

Entry 6:
Below is crystalline Er2BeZn at its relaxed geometry, with properties calculated at the PBE level.

abc: 3.4176 3.4176 7.0494
angles: 90.00 90.00 90.00
Last column: nearest neighbours and their distance in Å.
Element x y z (fractional)
Er  0.0000  0.0000  0.2337  4 Be 2.92, 4 Zn 3.06
Er  0.0000  0.0000  0.7663  4 Be 2.92, 4 Zn 3.06
Be  0.5000  0.5000  0.0000  8 Er 2.92
Zn  0.5000  0.5000  0.5000  8 Er 3.06, 4 Zn 3.42

**Excess energy over the best structure of this formula in the dataset**: 0 meV/atom
**Calculated formation energy**: -0.1325 eV per atom
**Energy**: -3.664 eV per atom
**DOS(E_F)**: 4.64 states/eV/cell

Entry 7:
Below is crystalline AcTb14Dy at its relaxed geometry, with properties calculated at the PBE level.

abc: 11.4347 7.3024 7.3024
angles: 59.99 90.00 90.00
Last column: nearest neighbours and their distance in Å.
Element x y z (fractional)
Ac  0.0000  0.0000  0.0000  10 Tb 3.60-3.66, 2 Dy 3.65
Tb  0.0000  0.5016  0.9980  8 Tb 3.56-3.68, 2 Dy 3.63-3.68, 2 Ac 3.65-3.66
Tb  0.0000  0.9980  0.5016  8 Tb 3.56-3.68, 2 Dy 3.63-3.68, 2 Ac 3.65-3.66
Tb  0.2496  0.3335  0.3335  11 Tb 3.55-3.65, 1 Dy 3.56
Tb  0.2542  0.3360  0.8321  10 Tb 3.51-3.68, 1 Dy 3.58, 1 Ac 3.60
Tb  0.2542  0.8321  0.3360  10 Tb 3.51-3.68, 1 Dy 3.58, 1 Ac 3.60
Tb  0.2545  0.8321  0.8321  11 Tb 3.51-3.68, 1 Ac 3.60
Tb  0.5000  0.0003  0.0003  12 Tb 3.52-3.65
Tb  0.5000  0.0005  0.5001  12 Tb 3.51-3.65
Tb  0.5000  0.5001  0.0005  12 Tb 3.51-3.65
Tb  0.5000  0.5002  0.5002  12 Tb 3.51-3.65
Tb  0.7458  0.3360  0.8321  10 Tb 3.51-3.68, 1 Dy 3.58, 1 Ac 3.60
Tb  0.7458  0.8321  0.3360  10 Tb 3.51-3.68, 1 Dy 3.58, 1 Ac 3.60
Tb  0.7455  0.8321  0.8321  11 Tb 3.51-3.68, 1 Ac 3.60
Tb  0.7504  0.3335  0.3335  11 Tb 3.55-3.65, 1 Dy 3.56
Dy  0.0000  0.5014  0.5014  10 Tb 3.56-3.68, 2 Ac 3.65

**Calculated formation energy**: 0.0243 eV per atom
**Energy**: -4.572 eV per atom
**DOS(E_F)**: 27.45 states/eV/cell

Entry 8:
Below is crystalline Sb2PtCl at its relaxed geometry, with properties calculated at the PBE level.

abc: 5.5029 5.5029 3.1215
angles: 91.01 91.01 90.07
Last column: nearest neighbours and their distance in Å.
Element x y z (fractional)
Sb  0.0000  0.5000  0.0000  2 Cl 2.75, 2 Pt 2.75
Sb  0.5000  0.0000  0.0000  2 Cl 2.75, 2 Pt 2.75
Pt  0.0000  0.0000  0.0000  4 Sb 2.75
Cl  0.5000  0.5000  0.0000  4 Sb 2.75

**Excess energy over the best structure of this formula in the dataset**: 343 meV/atom
**Energy**: -4.168 eV per atom
**DOS(E_F)**: 2.04 states/eV/cell
**ΔE_f (raw)**: -52 kJ/mol of formula units

Entry 9:
Below is crystalline Li6LaPd6 at its relaxed geometry, with properties calculated at the PBE level.

abc: 6.8619 6.8619 6.8619
angles: 133.70 103.20 94.63
Last column: nearest neighbours and their distance in Å.
Element x y z (fractional)
Li  0.1408  0.1408  0.0000  1 Li 2.62, 6 Pd 2.72-2.78
Li  0.1537  0.5000  0.6537  1 Li 2.62, 6 Pd 2.81-2.93
Li  0.2882  0.7882  0.5000  6 Pd 2.55-2.68
Li  0.7118  0.2118  0.5000  6 Pd 2.55-2.68
Li  0.8463  0.5000  0.3463  1 Li 2.62, 6 Pd 2.81-2.93
Li  0.8592  0.8592  0.0000  1 Li 2.62, 6 Pd 2.72-2.78
La  0.5000  0.5000  0.0000  2 Li 2.95, 4 Pd 3.25
Pd  0.0000  0.0000  0.5000  6 Li 2.55-2.81, 4 Pd 2.70-2.71
Pd  0.0000  0.5000  0.0000  6 Li 2.55-2.81, 4 Pd 2.70-2.71
Pd  0.2871  0.0000  0.2871  6 Li 2.68-2.93, 4 Pd 2.71
Pd  0.5000  0.0000  0.0000  6 Li 2.55-2.81, 4 Pd 2.70-2.71
Pd  0.5000  0.5000  0.5000  6 Li 2.55-2.81, 4 Pd 2.70-2.71
Pd  0.7129  0.0000  0.7129  6 Li 2.68-2.93, 4 Pd 2.71

**Calculated formation energy**: -0.4814 eV per atom
**Energy**: -4.140 eV per atom
**DOS(E_F)**: 4.94 states/eV/cell

Entry 10:
Below is crystalline Rb2MgGeCl6 at its relaxed geometry, with properties calculated at the PBE level.

abc: 7.3410 7.3410 7.3410
angles: 60.00 60.00 60.00
Last column: nearest neighbours and their distance in Å.
Element x y z (fractional)
Rb  0.2500  0.2500  0.2500  12 Cl 3.67
Rb  0.7500  0.7500  0.7500  12 Cl 3.67
Mg  0.0000  0.0000  0.0000  6 Cl 2.53
Ge  0.5000  0.5000  0.5000  6 Cl 2.66
Cl  0.2434  0.2434  0.7566  1 Mg 2.53, 1 Ge 2.66
Cl  0.2434  0.7566  0.2434  1 Mg 2.53, 1 Ge 2.66
Cl  0.2434  0.7566  0.7566  1 Mg 2.53, 1 Ge 2.66
Cl  0.7566  0.2434  0.2434  1 Mg 2.53, 1 Ge 2.66
Cl  0.7566  0.2434  0.7566  1 Mg 2.53, 1 Ge 2.66
Cl  0.7566  0.7566  0.2434  1 Mg 2.53, 1 Ge 2.66

**Energy**: -3.509 eV per atom
**DOS(E_F)**: 0.00 states/eV/cell
**ΔE_f (raw)**: -1531 kJ/mol of formula units

Entry 11:
Below is crystalline Y5Tm at its relaxed geometry, with properties calculated at the PBE level.

abc: 9.3877 9.3877 3.7724
angles: 90.00 90.00 144.32
Last column: nearest neighbours and their distance in Å.
Element x y z (fractional)
Y  0.0000  0.0000  0.0000  4 Tm 3.44, 6 Y 3.73-3.77
Y  0.1800  0.8200  0.5000  12 Y 3.48-3.81
Y  0.3486  0.6514  0.0000  2 Tm 3.30, 6 Y 3.48-3.56
Y  0.6514  0.3486  0.0000  2 Tm 3.30, 6 Y 3.48-3.56
Y  0.8200  0.1800  0.5000  12 Y 3.48-3.81
Tm  0.5000  0.5000  0.5000  8 Y 3.30-3.44

**Excess energy over the best structure of this formula in the dataset**: 79 meV/atom
**Calculated formation energy**: 0.1051 eV per atom
**Energy**: -6.027 eV per atom
**DOS(E_F)**: 11.99 states/eV/cell

Entry 12:
Below is crystalline ZrN4 at its relaxed geometry, with properties calculated at the PBE level.

abc: 4.3599 4.3599 4.3599
angles: 90.00 90.00 90.00
Last column: nearest neighbours and their distance in Å.
Element x y z (fractional)
Zr  0.0000  0.0000  0.0000  6 N 2.18
N  0.0000  0.0000  0.5000  2 Zr 2.18
N  0.0000  0.5000  0.0000  2 Zr 2.18
N  0.5000  0.0000  0.0000  2 Zr 2.18
N  0.5000  0.5000  0.5000  12 N 3.08

**Energy**: -6.133 eV per atom
**DOS(E_F)**: 6.38 states/eV/cell
**ΔE_f (raw)**: 1079 kJ/mol of formula units

Question: DOS(E_F) of number 7 (AcTb14Dy)?
Answer: 27.45 states/eV/cell